No. 1
{
  "formula": "La5SmY2Tm",
  "functional": "PBE",
  "state": "relaxed",
  "e_form_mev_per_atom": 304,
  "space_group": "I4/mcm",
  "cell": [[-4.8064, 4.8064, 6.9990], [4.8064, -4.8064, 6.9990], [4.8064, 4.8064, -6.9990]],
  "species": ["La", "La", "La", "La", "La", "La", "La", "La", "La", "La", "Sm", "Sm", "Y", "Y", "Y", "Y", "Tm", "Tm"],
  "fractional_positions": [[0.0000, 0.0000, 0.0000], [0.0632, 0.5632, 0.9032], [0.1600, 0.0632, 0.5000], [0.3400, 0.8400, 0.9032], [0.4368, 0.3400, 0.5000], [0.5000, 0.5000, 0.0000], [0.5632, 0.6600, 0.5000], [0.6600, 0.1600, 0.0968], [0.8400, 0.9368, 0.5000], [0.9368, 0.4368, 0.0968], [0.2500, 0.2500, 0.0000], [0.7500, 0.7500, 0.0000], [0.1080, 0.3920, 0.5000], [0.3920, 0.8920, 0.2839], [0.6080, 0.1080, 0.7161], [0.8920, 0.6080, 0.5000], [0.2500, 0.7500, 0.5000], [0.7500, 0.2500, 0.5000]]
}

---

No. 2
{
  "formula": "CaCoSi",
  "functional": "PBE",
  "state": "relaxed",
  "formation_energy_uncorrected_mev_per_atom": -241,
  "space_group": "I4mm",
  "cell": [[-1.5470, 1.5470, 5.2897], [1.5470, -1.5470, 5.2897], [1.5470, 1.5470, -5.2897]],
  "species": ["Ca", "Co", "Si"],
  "fractional_positions": [[0.0000, 0.0000, 0.0000], [0.2947, 0.2947, 0.0000], [0.7102, 0.7102, 0.0000]]
}

---

No. 3
{
  "formula": "NaLaTl3",
  "functional": "PBE",
  "state": "relaxed",
  "e_form_mev_per_atom": 364,
  "space_group": "Pm-3m",
  "cell": [[6.1834, 0.0000, 0.0000], [0.0000, 6.1834, 0.0000], [0.0000, 0.0000, 6.1834]],
  "species": ["Na", "La", "Tl", "Tl", "Tl"],
  "fractional_positions": [[0.0000, 0.0000, 0.0000], [0.5000, 0.5000, 0.5000], [0.0000, 0.5000, 0.5000], [0.5000, 0.0000, 0.5000], [0.5000, 0.5000, 0.0000]]
}

---

No. 4
{
  "formula": "CsAl3Ge",
  "functional": "PBE",
  "state": "relaxed",
  "e_form_mev_per_atom": 570,
  "space_group": "Pm-3m",
  "cell": [[5.3446, 0.0000, 0.0000], [0.0000, 5.3446, 0.0000], [0.0000, 0.0000, 5.3446]],
  "species": ["Cs", "Al", "Al", "Al", "Ge"],
  "fractional_positions": [[0.0000, 0.0000, 0.0000], [0.0000, 0.5000, 0.5000], [0.5000, 0.0000, 0.5000], [0.5000, 0.5000, 0.0000], [0.5000, 0.5000, 0.5000]]
}

---

No. 5
{
  "formula": "Ho6Er3Tm2Sc",
  "functional": "PBE",
  "state": "relaxed",
  "e_form_mev_per_atom": 30,
  "space_group": "C2/m",
  "cell": [[3.0273, -5.2370, 0.0000], [3.0273, 5.2370, 0.0000], [-2.0133, 0.0000, 11.3867]],
  "species": ["Ho", "Ho", "Ho", "Ho", "Ho", "Ho", "Er", "Er", "Er", "Tm", "Tm", "Sc"],
  "fractional_positions": [[0.0819, 0.4132, 0.2472], [0.2495, 0.2495, 0.7525], [0.4132, 0.0819, 0.2472], [0.5868, 0.9181, 0.7528], [0.7505, 0.7505, 0.2475], [0.9181, 0.5868, 0.7528], [0.1666, 0.8334, 0.5000], [0.5000, 0.5000, 0.5000], [0.8334, 0.1666, 0.5000], [0.3334, 0.6666, 0.0000], [0.6666, 0.3334, 0.0000], [0.0000, 0.0000, 0.0000]]
}

---

Number 1: Fermi-level density of states 30.339 states/eV per cell, size of the total moment 0.00 μB per cell. Number 2: Fermi-level density of states 1.648 states/eV per cell, size of the total moment 0.48 μB per cell. Number 3: Fermi-level density of states 12.703 states/eV per cell, size of the total moment 0.00 μB per cell. Number 4: Fermi-level density of states 3.705 states/eV per cell, size of the total moment 0.00 μB per cell. Number 5: Fermi-level density of states 17.308 states/eV per cell, size of the total moment 0.00 μB per cell.